KBaVF6: relaxed, GGA+U.

Unit cell a=4.6241 b=5.8344 c=5.8364 alpha=60.12 beta=89.95 gamma=89.97
With the nearest neighbours (Å) after each atom.
Fractional positions:
K 0.0000 0.0000 0.0000  12 F 2.87-2.94
Ba 0.4402 0.3333 0.3332  12 F 2.79-2.94
V 0.7364 0.6668 0.6668  6 F 1.98
F 0.4963 0.8274 0.8300  1 V 1.98
F 0.4971 0.3427 0.8276  1 V 1.98
F 0.4972 0.8298 0.3428  1 V 1.98
F 0.9554 0.4973 0.0039  1 V 1.98
F 0.9556 0.0038 0.4997  1 V 1.98
F 0.9566 0.4997 0.4974  1 V 1.98

Density of states at the Fermi level ... 0.00 states/eV/f.u.
Total magnetization ... 2.00 μB/cell
Final energy ... -50.89 eV per formula unit


K2BaV3F12: relaxed, GGA+U.

Unit cell a=7.3974 b=7.3974 c=7.3974 alpha=62.85 beta=62.85 gamma=62.85
With the nearest neighbours (Å) after each atom.
Fractional positions:
K 0.1246 0.1246 0.1246  3 F 2.61
K 0.8754 0.8754 0.8754  3 F 2.61
Ba 0.5000 0.5000 0.5000  6 F 2.70
V 0.0000 0.5000 0.5000  6 F 1.98-2.04
V 0.5000 0.0000 0.5000  6 F 1.98-2.04
V 0.5000 0.5000 0.0000  6 F 1.98-2.04
F 0.0683 0.6314 0.6314  1 V 1.98
F 0.2261 0.2261 0.6049  2 V 2.04
F 0.2261 0.6049 0.2261  2 V 2.04
F 0.3686 0.3686 0.9317  1 V 1.98
F 0.3686 0.9317 0.3686  1 V 1.98
F 0.3951 0.7739 0.7739  2 V 2.04
F 0.6049 0.2261 0.2261  2 V 2.04
F 0.6314 0.0683 0.6314  1 V 1.98
F 0.6314 0.6314 0.0683  1 V 1.98
F 0.7739 0.3951 0.7739  2 V 2.04
F 0.7739 0.7739 0.3951  2 V 2.04
F 0.9317 0.3686 0.3686  1 V 1.98

Density of states at the Fermi level ... 6.48 states/eV/f.u.
Total magnetization ... 7.00 μB/cell
Final energy ... -103.32 eV per formula unit


K2BaVF6: relaxed, GGA+U.

Unit cell a=6.3236 b=6.4998 c=10.8996 alpha=90.00 beta=124.28 gamma=90.00
With the nearest neighbours (Å) after each atom.
Fractional positions:
K 0.2307 0.0498 0.2483  6 F 2.67-2.95
K 0.2307 0.4502 0.7483  6 F 2.67-2.95
K 0.7693 0.5498 0.2517  6 F 2.67-2.95
K 0.7693 0.9502 0.7517  6 F 2.67-2.95
Ba 0.5000 0.0000 0.0000  6 F 2.57-2.60
Ba 0.5000 0.5000 0.5000  6 F 2.57-2.60
V 0.0000 0.0000 0.5000  6 F 2.13-2.15
V 0.0000 0.5000 0.0000  6 F 2.13-2.15
F 0.1140 0.2291 0.9376  1 V 2.15
F 0.1140 0.2709 0.4376  1 V 2.15
F 0.2145 0.6839 0.9448  1 V 2.13
F 0.2145 0.8161 0.4448  1 V 2.13
F 0.3312 0.0464 0.7224  1 V 2.15
F 0.3312 0.4536 0.2224  1 V 2.15
F 0.6688 0.5464 0.7776  1 V 2.15
F 0.6688 0.9536 0.2776  1 V 2.15
F 0.7855 0.1839 0.5552  1 V 2.13
F 0.7855 0.3161 0.0552  1 V 2.13
F 0.8860 0.7291 0.5624  1 V 2.15
F 0.8860 0.7709 0.0624  1 V 2.15

Density of states at the Fermi level ... 0.00 states/eV/f.u.
Total magnetization ... 6.00 μB/cell
Final energy ... -53.20 eV per formula unit


K2BaWF8: relaxed, GGA+U.

Unit cell a=4.4775 b=6.1196 c=8.1719 alpha=89.42 beta=89.94 gamma=84.47
With the nearest neighbours (Å) after each atom.
Fractional positions:
K 0.0014 0.0047 0.2558  6 F 2.62-2.78
K 0.9986 0.9953 0.7442  6 F 2.62-2.78
Ba 0.5000 0.5000 0.0000  8 F 2.62-2.87
W 0.5000 0.5000 0.5000  6 F 2.00-2.08
F 0.0136 0.2570 0.9955  2 Ba 2.62-2.75, 2 K 2.62
F 0.1154 0.6943 0.5034  1 W 2.00
F 0.4041 0.3033 0.6893  1 W 2.02
F 0.4200 0.2977 0.3047  1 W 2.08
F 0.5800 0.7023 0.6953  1 W 2.08
F 0.5959 0.6967 0.3107  1 W 2.02
F 0.8846 0.3057 0.4966  1 W 2.00
F 0.9864 0.7430 0.0045  2 Ba 2.62-2.75, 2 K 2.62

Density of states at the Fermi level ... 0.00 states/eV/f.u.
Total magnetization ... 2.00 μB/cell
Final energy ... -63.06 eV per formula unit